A relaxed structure of BeCrIn2. Source: Alexandria via LeMat-Bulk, functional PBE.

a = 4.720 Å, b = 4.720 Å, c = 5.243 Å
α = 101.28°, β = 101.28°, γ = 39.87°
Fractional coordinates of all 4 atoms:
Be (0.000, 0.000, 0.000)
Cr (0.500, 0.500, 0.500)
In (0.258, 0.258, 0.760)
In (0.742, 0.742, 0.240)

Results
**Space-group type**: C2/m, No. 12
**ΔH_f (0 K)**: 0.532 eV per atom
**Spin magnetization**: 3.4 μB/cell
**Final energy**: -16.697 eV/cell